! LaAl6Zn2 PBE-GGA optimized geometry; values from VASP
&SYSTEM
  ibrav = 0, nat = 9, ntyp = 3
/
ATOMIC_SPECIES
Al 26.98 Al.upf
Zn 65.41 Zn.upf
La 138.91 La.upf
CELL_PARAMETERS angstrom
4.147 0.000 0.000
0.000 4.147 0.000
0.000 0.000 9.720
ATOMIC_POSITIONS crystal
Al 0.500 0.000 0.297
Zn 0.500 0.500 0.870
Al 0.500 0.000 0.703
Al 0.000 0.000 0.500
Al 0.000 0.500 0.703
Zn 0.500 0.500 0.130
Al 0.500 0.500 0.500
Al 0.000 0.500 0.297
La 0.000 0.000 0.000
! - Total DFT energy (no corrections): -3.52 eV/atom
! - Magnetization: 0.0 μB/f.u.
! - Fermi-level density of states: 0.528 states/eV/atom

! La2Al2Zn15 PBE-GGA optimized geometry; values from VASP
&SYSTEM
  ibrav = 0, nat = 19, ntyp = 3
/
ATOMIC_SPECIES
Zn 65.41 Zn.upf
Al 26.98 Al.upf
La 138.91 La.upf
CELL_PARAMETERS angstrom
-6.488 -1.645 -1.692
1.560 -4.035 -5.381
-0.228 -6.008 3.394
ATOMIC_POSITIONS crystal
Zn 0.000 0.295 0.705
Al 0.901 0.901 0.901
Zn 0.839 0.350 0.350
La 0.336 0.336 0.336
Zn 0.000 0.705 0.295
Zn 0.000 0.000 0.500
Zn 0.705 0.295 0.000
Zn 0.350 0.350 0.839
Zn 0.650 0.161 0.650
Zn 0.295 0.000 0.705
Zn 0.161 0.650 0.650
Zn 0.350 0.839 0.350
Zn 0.650 0.650 0.161
La 0.664 0.664 0.664
Zn 0.705 0.000 0.295
Zn 0.000 0.500 0.000
Al 0.099 0.099 0.099
Zn 0.500 0.000 0.000
Zn 0.295 0.705 0.000
! - Total DFT energy (no corrections): -2.18 eV/atom
! - Magnetization: 0.0 μB/f.u.
! - Fermi-level density of states: 0.337 states/eV/atom

! La2AlZn PBE-GGA optimized geometry; values from VASP
&SYSTEM
  ibrav = 0, nat = 4, ntyp = 3
/
ATOMIC_SPECIES
La 138.91 La.upf
Zn 65.41 Zn.upf
Al 26.98 Al.upf
CELL_PARAMETERS angstrom
3.744 0.000 0.000
0.000 3.744 0.000
0.000 0.000 7.693
ATOMIC_POSITIONS crystal
La 0.000 0.000 0.002
La 0.000 0.000 0.498
Zn 0.500 0.500 0.250
Al 0.500 0.500 0.750
! - Total DFT energy (no corrections): -4.06 eV/atom
! - Magnetization: 0.0 μB/f.u.
! - Fermi-level density of states: 0.905 states/eV/atom

! La3Al3Zn2 PBE-GGA optimized geometry; values from VASP
&SYSTEM
  ibrav = 0, nat = 16, ntyp = 3
/
ATOMIC_SPECIES
Al 26.98 Al.upf
La 138.91 La.upf
Zn 65.41 Zn.upf
CELL_PARAMETERS angstrom
4.692 0.000 0.000
-2.346 5.456 0.000
0.000 0.000 15.401
ATOMIC_POSITIONS crystal
Al 0.613 0.227 0.036
Al 0.387 0.773 0.536
La 0.103 0.206 0.892
Zn 0.198 0.396 0.403
La 0.615 0.230 0.250
Al 0.387 0.773 0.964
Zn 0.802 0.604 0.903
La 0.103 0.206 0.608
Al 0.683 0.365 0.750
La 0.897 0.794 0.108
Al 0.317 0.635 0.250
Al 0.613 0.227 0.464
Zn 0.198 0.396 0.097
Zn 0.802 0.604 0.597
La 0.385 0.770 0.750
La 0.897 0.794 0.392
! - Total DFT energy (no corrections): -3.98 eV/atom
! - Magnetization: 0.0 μB/f.u.
! - Fermi-level density of states: 0.531 states/eV/atom

- The highest total DFT energy (no corrections) belongs to which entry?
  La2Al2Zn15

- Look up the Fermi-level density of states of the first one.
  0.528 states/eV/atom

What did the first record say?
! LaAl6Zn2 PBE-GGA optimized geometry; values from VASP
&SYSTEM
  ibrav = 0, nat = 9, ntyp = 3
/
ATOMIC_SPECIES
Al 26.98 Al.upf
Zn 65.41 Zn.upf
La 138.91 La.upf
CELL_PARAMETERS angstrom
4.147 0.000 0.000
0.000 4.147 0.000
0.000 0.000 9.720
ATOMIC_POSITIONS crystal
Al 0.500 0.000 0.297
Zn 0.500 0.500 0.870
Al 0.500 0.000 0.703
Al 0.000 0.000 0.500
Al 0.000 0.500 0.703
Zn 0.500 0.500 0.130
Al 0.500 0.500 0.500
Al 0.000 0.500 0.297
La 0.000 0.000 0.000
! - Total DFT energy (no corrections): -3.52 eV/atom
! - Magnetization: 0.0 μB/f.u.
! - Fermi-level density of states: 0.528 states/eV/atom